Entry 1:
Below is a relaxed Er4TlAg2Hg crystal, with properties calculated at the PBE level.

For the formation enthalpy at 0 K, the calculation gives -374 meV per atom. The final energy comes out at -3.70 eV per atom.

Geometry as extended XYZ:
```
8
Lattice="2.5938 1.4975 8.4775 -2.5938 1.4975 8.4775 0.0000 -2.9951 8.4775" Properties=species:S:1:pos:R:3 pbc="T T T"
Er 0.0000 0.0000 3.1273
Er 0.0000 0.0000 9.4886
Er 0.0000 0.0000 15.9440
Er 0.0000 0.0000 22.3053
Tl 0.0000 0.0000 12.7163
Ag 0.0000 0.0000 6.3522
Ag 0.0000 0.0000 19.0804
Hg 0.0000 0.0000 0.0000
```


Entry 2:
Below is a relaxed Er4TlAgHg2 crystal, with properties calculated at the PBE level.

For the formation enthalpy at 0 K, the calculation gives -396 meV per atom. The final energy comes out at -3.41 eV per atom.

Geometry as extended XYZ:
```
8
Lattice="2.6033 1.5030 8.5618 -2.6033 1.5030 8.5618 0.0000 -3.0061 8.5618" Properties=species:S:1:pos:R:3 pbc="T T T"
Er 0.0000 0.0000 3.1359
Er 0.0000 0.0000 9.5693
Er 0.0000 0.0000 16.1160
Er 0.0000 0.0000 22.5494
Tl 0.0000 0.0000 12.8426
Ag 0.0000 0.0000 0.0000
Hg 0.0000 0.0000 6.4612
Hg 0.0000 0.0000 19.2241
```


Entry 3:
Below is a relaxed ErTlAgHg crystal, with properties calculated at the PBE level.

For the formation enthalpy at 0 K, the calculation gives -214 meV per atom. The final energy comes out at -2.73 eV per atom.

Geometry as extended XYZ:
```
4
Lattice="0.0000 3.5807 3.5807 3.5807 0.0000 3.5807 3.5807 3.5807 0.0000" Properties=species:S:1:pos:R:3 pbc="T T T"
Er 0.0000 0.0000 0.0000
Tl 1.7903 1.7903 1.7903
Ag 3.5807 3.5807 3.5807
Hg 5.3710 5.3710 5.3710
```


Entry 4:
Below is a relaxed ErTmAgHg crystal, with properties calculated at the PBE level.

For the formation enthalpy at 0 K, the calculation gives -409 meV per atom. The final energy comes out at -3.46 eV per atom.

Geometry as extended XYZ:
```
4
Lattice="0.0000 3.6390 3.6390 3.6390 0.0000 3.6390 3.6390 3.6390 0.0000" Properties=species:S:1:pos:R:3 pbc="T T T"
Er 0.0000 0.0000 0.0000
Tm 3.6390 3.6390 3.6390
Ag 5.4585 5.4585 5.4585
Hg 1.8195 1.8195 1.8195
```


Entry 5:
Below is a relaxed YErAgHg crystal, with properties calculated at the PBE level.

For the formation enthalpy at 0 K, the calculation gives -413 meV per atom. The final energy comes out at -3.96 eV per atom.

Geometry as extended XYZ:
```
4
Lattice="0.0000 3.6668 3.6668 3.6668 0.0000 3.6668 3.6668 3.6668 0.0000" Properties=species:S:1:pos:R:3 pbc="T T T"
Y 0.0000 0.0000 0.0000
Er 3.6668 3.6668 3.6668
Ag 1.8334 1.8334 1.8334
Hg 5.5003 5.5003 5.5003
```


Entry 6:
Below is a relaxed Ho4Er3Ag crystal, with properties calculated at the PBE level.

For the formation enthalpy at 0 K, the calculation gives -55 meV per atom. The final energy comes out at -4.41 eV per atom.

Geometry as extended XYZ:
```
8
Lattice="3.5239 0.0000 0.0000 0.0000 3.5239 0.0000 0.0000 0.0000 18.7356" Properties=species:S:1:pos:R:3 pbc="T T T"
Ho 0.0000 0.0000 1.9088
Ho 0.0000 0.0000 6.8820
Ho 0.0000 0.0000 11.8537
Ho 0.0000 0.0000 16.8269
Er 1.7619 1.7619 4.4252
Er 1.7619 1.7619 9.3678
Er 1.7619 1.7619 14.3104
Ag 1.7619 1.7619 0.0000
```


Entry 7:
Below is a relaxed Ho2Er2Ag3 crystal, with properties calculated at the PBE level.

For the formation enthalpy at 0 K, the calculation gives -171 meV per atom. The final energy comes out at -4.00 eV per atom.

Geometry as extended XYZ:
```
7
Lattice="5.0525 0.0000 0.0000 2.5180 4.3863 0.0000 2.5168 1.4286 8.2250" Properties=species:S:1:pos:R:3 pbc="T T T"
Ho 1.2627 0.7315 0.9854
Ho 8.8246 5.0834 7.2396
Er 3.7833 2.1831 3.0313
Er 6.3040 3.6318 5.1937
Ag 1.2584 0.7143 4.1125
Ag 3.7794 2.1654 6.1622
Ag 6.3079 3.6494 2.0628
```


Entry 8:
Below is a relaxed HoErAg4 crystal, with properties calculated at the PBE level.

For the formation enthalpy at 0 K, the calculation gives -173 meV per atom. The final energy comes out at -3.60 eV per atom.

Geometry as extended XYZ:
```
6
Lattice="0.0000 4.0180 4.0180 4.0180 0.0000 4.0180 4.0180 4.0180 0.0000" Properties=species:S:1:pos:R:3 pbc="T T T"
Ho 0.0000 0.0000 0.0000
Er 2.0090 2.0090 2.0090
Ag 5.0223 3.0138 3.0138
Ag 3.0138 5.0223 3.0138
Ag 3.0138 3.0138 5.0223
Ag 5.0223 5.0223 5.0223
```


Entry 9:
Below is a relaxed Ho2Er6Ag crystal, with properties calculated at the PBE level.

For the formation enthalpy at 0 K, the calculation gives 31 meV per atom. The final energy comes out at -4.35 eV per atom.

Geometry as extended XYZ:
```
18
Lattice="9.9703 0.0000 0.0000 0.0000 9.9703 0.0000 0.0000 0.0000 5.2690" Properties=species:S:1:pos:R:3 pbc="T T T"
Ho 2.1305 2.1305 0.0000
Ho 2.8547 7.1156 2.6345
Ho 7.1156 2.8547 2.6345
Ho 7.8398 7.8398 0.0000
Er 0.3964 3.2026 2.6345
Er 1.2335 8.7368 0.0000
Er 1.7825 5.3816 0.0000
Er 3.2026 0.3964 2.6345
Er 3.7516 3.7516 2.6345
Er 4.5887 8.1878 0.0000
Er 5.3816 1.7825 0.0000
Er 6.2187 6.2187 2.6345
Er 6.7676 9.5739 2.6345
Er 8.1878 4.5887 0.0000
Er 8.7368 1.2335 0.0000
Er 9.5739 6.7676 2.6345
Ag 0.0000 0.0000 2.6345
Ag 4.9851 4.9851 0.0000
```


Entry 10:
Below is a relaxed HoEr2Ag6 crystal, with properties calculated at the PBE level.

For the formation enthalpy at 0 K, the calculation gives -217 meV per atom. The final energy comes out at -3.64 eV per atom.

Geometry as extended XYZ:
```
18
Lattice="6.9915 -5.4058 0.0000 6.9915 5.4058 0.0000 -0.9668 0.0000 5.1904" Properties=species:S:1:pos:R:3 pbc="T T T"
Ho 6.2663 4.0524 3.8928
Ho 6.7498 -4.0524 1.2976
Er 3.7750 1.3509 4.7555
Er 4.2584 -1.3509 2.1603
Er 8.7577 1.3509 3.0301
Er 9.2411 -1.3509 0.4349
Ag 5.2469 4.0479 1.0028
Ag 2.7692 1.3511 1.8658
Ag 8.2526 4.0479 1.5924
Ag 5.7558 1.3439 2.4554
Ag 2.2858 -1.3511 4.4610
Ag 7.7437 1.3439 0.1398
Ag 5.2724 -1.3439 5.0506
Ag 10.7303 1.3511 0.7295
Ag 7.2603 -1.3439 2.7350
Ag 4.7635 -4.0479 3.5980
Ag 10.2469 -1.3511 3.3247
Ag 7.7692 -4.0479 4.1877
```


Entry 11:
Below is a relaxed HoEr2Ag crystal, with properties calculated at the PBE level.

For the formation enthalpy at 0 K, the calculation gives 213 meV per atom. The final energy comes out at -3.93 eV per atom.

Geometry as extended XYZ:
```
4
Lattice="1.6882 0.9747 11.5626 -1.6882 0.9747 11.5626 0.0000 -1.9493 11.5626" Properties=species:S:1:pos:R:3 pbc="T T T"
Ho 0.0000 0.0000 0.0000
Er 0.0000 0.0000 3.3657
Er 0.0000 0.0000 31.3220
Ag 0.0000 0.0000 17.3439
```


Entry 12:
Below is a relaxed Ho4ErAg5 crystal, with properties calculated at the PBE level.

For the formation enthalpy at 0 K, the calculation gives -332 meV per atom. The final energy comes out at -4.04 eV per atom.

Geometry as extended XYZ:
```
10
Lattice="3.5843 0.0000 0.0000 0.0000 3.5843 0.0000 0.0000 0.0000 18.3887" Properties=species:S:1:pos:R:3 pbc="T T T"
Ho 0.0000 0.0000 1.8415
Ho 0.0000 0.0000 5.5264
Ho 0.0000 0.0000 12.8623
Ho 0.0000 0.0000 16.5472
Er 0.0000 0.0000 9.1944
Ag 1.7922 1.7922 0.0000
Ag 1.7922 1.7922 3.6836
Ag 1.7922 1.7922 7.3748
Ag 1.7922 1.7922 11.0139
Ag 1.7922 1.7922 14.7051
```


Entry 13:
Below is a relaxed HoErAg4 crystal, with properties calculated at the PBE level.

For the formation enthalpy at 0 K, the calculation gives -323 meV per atom. The final energy comes out at -3.75 eV per atom.

Geometry as extended XYZ:
```
6
Lattice="3.6939 0.0000 0.0000 -1.8452 4.9836 0.0000 -0.0087 -2.8234 6.9407" Properties=species:S:1:pos:R:3 pbc="T T T"
Ho 0.0000 0.0000 0.0000
Er -0.0043 -1.4117 3.4703
Ag -0.0002 2.8300 1.1561
Ag -0.0047 1.4224 4.6117
Ag 1.8447 0.7379 2.3290
Ag 1.8402 -0.6698 5.7845
```


Entry 14:
Below is a relaxed HoErAg6 crystal, with properties calculated at the PBE level.

For the formation enthalpy at 0 K, the calculation gives -218 meV per atom. The final energy comes out at -3.50 eV per atom.

Geometry as extended XYZ:
```
8
Lattice="4.7056 -2.2110 0.0000 4.7056 2.2110 0.0000 -4.1555 0.0000 7.8333" Properties=species:S:1:pos:R:3 pbc="T T T"
Ho 0.0000 0.0000 0.0000
Er -2.0778 0.0000 3.9167
Ag 0.7961 0.0000 2.9431
Ag -1.2795 0.0000 6.8475
Ag 3.6605 0.0000 1.9617
Ag 1.5952 0.0000 5.8716
Ag 6.5353 0.0000 0.9858
Ag 4.4596 0.0000 4.8902
```


Entry 15:
Below is a relaxed HoErAg5 crystal, with properties calculated at the PBE level.

For the formation enthalpy at 0 K, the calculation gives -61 meV per atom. The final energy comes out at -3.40 eV per atom.

Geometry as extended XYZ:
```
7
Lattice="4.9203 0.0000 0.0000 0.0000 4.9203 0.0000 0.0000 0.0000 6.6383" Properties=species:S:1:pos:R:3 pbc="T T T"
Ho 0.0000 0.0000 0.0000
Er 2.4601 2.4601 3.3191
Ag 0.0000 2.4601 1.7380
Ag 0.0000 2.4601 4.9003
Ag 2.4601 0.0000 1.7380
Ag 2.4601 0.0000 4.9003
Ag 2.4601 2.4601 0.0000
```


Entry 16:
Below is a relaxed Ho3ErAg3 crystal, with properties calculated at the PBE level.

For the formation enthalpy at 0 K, the calculation gives -149 meV per atom. The final energy comes out at -3.99 eV per atom.

Geometry as extended XYZ:
```
14
Lattice="4.9155 -5.3113 0.0000 4.9155 5.3113 0.0000 -0.1361 0.0000 6.9819" Properties=species:S:1:pos:R:3 pbc="T T T"
Ho 4.9155 3.3725 0.0000
Ho 4.8475 2.5262 3.4910
Ho 3.6587 0.0000 1.0818
Ho 6.0363 0.0000 5.9001
Ho 4.8475 -2.5262 3.4910
Ho 4.9155 -3.3725 0.0000
Er 2.4370 0.0000 4.5109
Er 7.2580 0.0000 2.4710
Ag 2.4369 2.7410 5.3798
Ag 0.6651 0.0000 2.1933
Ag 7.2581 2.7410 1.6021
Ag 2.4369 -2.7410 5.3798
Ag 9.0299 0.0000 4.7886
Ag 7.2581 -2.7410 1.6021
```


Entry 17:
Below is a relaxed HoEr2Ag4 crystal, with properties calculated at the PBE level.

For the formation enthalpy at 0 K, the calculation gives -102 meV per atom. The final energy comes out at -3.69 eV per atom.

Geometry as extended XYZ:
```
7
Lattice="-3.5552 3.5552 3.5322 3.5552 -3.5552 3.5322 3.5552 3.5552 -3.5322" Properties=species:S:1:pos:R:3 pbc="T T T"
Ho 0.0000 0.0000 0.0000
Er 3.5552 0.0000 0.0000
Er 0.0000 3.5552 0.0000
Ag 1.7776 1.7776 -1.7661
Ag 1.7776 -1.7776 1.7661
Ag -1.7776 1.7776 1.7661
Ag 1.7776 1.7776 1.7661
```


Entry 18:
Below is a relaxed Ho2Er2Ag crystal, with properties calculated at the PBE level.

For the formation enthalpy at 0 K, the calculation gives 36 meV per atom. The final energy comes out at -4.19 eV per atom.

Geometry as extended XYZ:
```
10
Lattice="-2.4925 2.4925 12.1146 2.4925 -2.4925 12.1146 2.4925 2.4925 -12.1146" Properties=species:S:1:pos:R:3 pbc="T T T"
Ho 2.4925 1.2463 -4.8429
Ho 0.0000 1.2463 1.2144
Ho 2.4925 1.2463 10.9001
Ho 0.0000 1.2463 16.9574
Er 2.4925 1.2463 -1.2469
Er 0.0000 1.2463 4.8104
Er 2.4925 1.2463 7.3042
Er 0.0000 1.2463 13.3615
Ag 2.4925 -1.2463 9.0859
Ag 0.0000 3.7388 3.0286
```


Entry 19:
Below is a relaxed Ho5ErAg4 crystal, with properties calculated at the PBE level.

For the formation enthalpy at 0 K, the calculation gives -252 meV per atom. The final energy comes out at -4.14 eV per atom.

Geometry as extended XYZ:
```
10
Lattice="3.5923 0.0000 0.0000 0.0000 3.5923 0.0000 0.0000 0.0000 19.5337" Properties=species:S:1:pos:R:3 pbc="T T T"
Ho 0.0000 0.0000 0.0000
Ho 0.0000 0.0000 3.6825
Ho 0.0000 0.0000 7.3358
Ho 0.0000 0.0000 12.1979
Ho 0.0000 0.0000 15.8512
Er 1.7961 1.7961 9.7668
Ag 1.7961 1.7961 1.8264
Ag 1.7961 1.7961 5.5063
Ag 1.7961 1.7961 14.0274
Ag 1.7961 1.7961 17.7073
```


Entry 20:
Below is a relaxed HoEr2Ag3 crystal, with properties calculated at the PBE level.

For the formation enthalpy at 0 K, the calculation gives -335 meV per atom. The final energy comes out at -4.04 eV per atom.

Geometry as extended XYZ:
```
6
Lattice="3.5925 0.0000 0.0000 0.0000 3.5925 0.0000 0.0000 0.0000 10.9248" Properties=species:S:1:pos:R:3 pbc="T T T"
Ho 0.0000 0.0000 0.0000
Er 0.0000 0.0000 3.6482
Er 0.0000 0.0000 7.2765
Ag 1.7962 1.7962 1.8390
Ag 1.7962 1.7962 5.4624
Ag 1.7962 1.7962 9.0858
```


Entry 21:
Below is a relaxed HoEr2Ag crystal, with properties calculated at the PBE level.

For the formation enthalpy at 0 K, the calculation gives -75 meV per atom. The final energy comes out at -4.21 eV per atom.

Geometry as extended XYZ:
```
8
Lattice="2.3879 -5.6614 0.0000 2.3879 5.6614 0.0000 0.0000 0.0000 8.3388" Properties=species:S:1:pos:R:3 pbc="T T T"
Ho 2.3879 5.0706 6.2541
Ho 2.3879 -5.0706 2.0847
Er 2.3879 1.6245 4.5555
Er 2.3879 1.6245 7.9527
Er 2.3879 -1.6245 0.3861
Er 2.3879 -1.6245 3.7833
Ag 2.3879 3.1319 2.0847
Ag 2.3879 -3.1319 6.2541
```


Entry 22:
Below is a relaxed Ho2Er2Ag crystal, with properties calculated at the PBE level.

For the formation enthalpy at 0 K, the calculation gives -103 meV per atom. The final energy comes out at -4.33 eV per atom.

Geometry as extended XYZ:
```
5
Lattice="-1.7571 1.7571 11.3574 1.7571 -1.7571 11.3574 1.7571 1.7571 -11.3574" Properties=species:S:1:pos:R:3 pbc="T T T"
Ho 0.0000 0.0000 4.4412
Ho 0.0000 0.0000 18.2736
Er 0.0000 0.0000 9.4554
Er 0.0000 0.0000 13.2595
Ag 0.0000 0.0000 0.0000
```


Entry 23:
Below is a relaxed HoEr6Ag crystal, with properties calculated at the PBE level.

For the formation enthalpy at 0 K, the calculation gives 47 meV per atom. The final energy comes out at -4.30 eV per atom.

Geometry as extended XYZ:
```
8
Lattice="4.5963 2.6537 3.2193 -4.5963 2.6537 3.2193 0.0000 -5.3074 3.2193" Properties=species:S:1:pos:R:3 pbc="T T T"
Ho 0.0000 0.0000 0.0000
Er -0.8877 -2.0147 2.8211
Er -1.3010 1.7761 2.8211
Er -2.1886 -0.2386 6.8368
Er 2.1886 0.2386 2.8211
Er 1.3010 -1.7761 6.8368
Er 0.8877 2.0147 6.8368
Ag 0.0000 0.0000 4.8290
```


Entry 24:
Below is a relaxed Ho2ErAg3 crystal, with properties calculated at the PBE level.

For the formation enthalpy at 0 K, the calculation gives -333 meV per atom. The final energy comes out at -4.04 eV per atom.

Geometry as extended XYZ:
```
6
Lattice="3.5979 0.0000 0.0000 0.0000 3.5979 0.0000 0.0000 0.0000 10.9364" Properties=species:S:1:pos:R:3 pbc="T T T"
Ho 0.0000 0.0000 1.8285
Ho 0.0000 0.0000 9.1079
Er 0.0000 0.0000 5.4682
Ag 1.7989 1.7989 0.0000
Ag 1.7989 1.7989 3.6610
Ag 1.7989 1.7989 7.2754
```